Entry from Alexandria via LeMat-Bulk: a relaxed PrMg2Cu crystal (GGA-PBE).

```
4
Lattice="0.000 3.546 3.546 3.546 0.000 3.546 3.546 3.546 0.000" Properties=species:S:1:pos:R:3 pbc="T T T"
Pr 0.000 0.000 0.000
Mg 3.546 3.546 3.546
Mg 5.319 5.319 5.319
Cu 1.773 1.773 1.773
```

Mass density   4.71 g/cm³
D(E_F)   0.691 states/eV per atom
VASP energy   -12.5 eV for the cell shown
Calculated volume   89.2 Å³ per cell